(1)
Li2HgW | PBE | relaxed

a b c (Å): 6.989 6.989 5.651
angles (deg): 51.80 51.80 90.00
Sites, in units of the cell vectors:
Li 0.110 0.625 0.250
Li 0.640 0.125 0.250
Li 0.875 0.890 0.750
Li 0.375 0.360 0.750
W 0.500 0.500 0.000
W 0.250 0.750 0.500
Hg 0.750 0.250 0.500
Hg 0.000 0.000 0.000

The raw total energy comes out at -3.34 eV per atom.

---

(2)
LiHg2W | PBE | relaxed

a b c (Å): 4.717 4.717 4.717
angles (deg): 60.00 60.00 60.00
Site moments in Bohr magnetons follow the coordinates.
Sites, in units of the cell vectors:
W 0.500 0.500 0.500  1.60
Li 0.000 0.000 0.000  -0.01
Hg 0.750 0.750 0.750  0.02
Hg 0.250 0.250 0.250  0.02

The raw total energy comes out at -3.25 eV per atom.